[1]
This record from Alexandria describes an optimized crystal structure of La2Bi6Pb. The functional is PBE.

Cell lengths 8.831, 8.831, 8.425 Å; angles 116.52, 116.52, 30.61 degrees
Sites, in units of the cell vectors:
La (0.059, 0.059, 0.330)
La (0.941, 0.941, 0.670)
Bi (0.165, 0.165, 0.039)
Bi (0.285, 0.285, 0.670)
Bi (0.407, 0.407, 0.338)
Bi (0.593, 0.593, 0.662)
Bi (0.715, 0.715, 0.330)
Bi (0.835, 0.835, 0.961)
Pb (0.500, 0.500, 0.000)

**Total moment**: 0.00 μB/cell
**Calculated formation energy**: -0.4245 eV/atom

[2]
This record from Alexandria describes an optimized crystal structure of La2BiPb. The functional is PBE.

Cell lengths 8.936, 8.936, 8.936 Å; angles 29.01, 29.01, 29.01 degrees
Sites, in units of the cell vectors:
La (0.000, 0.000, 0.000)
La (0.176, 0.176, 0.176)
Bi (0.587, 0.587, 0.587)
Pb (0.756, 0.756, 0.756)

**Distance to the lowest polymorph of the same formula**: 0.173 eV per atom
**Total moment**: 0.00 μB/cell
**Calculated formation energy**: -0.6536 eV/atom

[3]
This record from Alexandria describes an optimized crystal structure of La10Bi3Pb3. The functional is PBE.

Cell lengths 9.711, 9.711, 6.828 Å; angles 90.00, 90.00, 120.00 degrees
Sites, in units of the cell vectors:
La (0.000, 0.248, 0.000)
La (0.000, 0.753, 0.500)
La (0.247, 0.247, 0.500)
La (0.248, 0.000, 0.000)
La (0.333, 0.667, 0.251)
La (0.333, 0.667, 0.749)
La (0.667, 0.333, 0.251)
La (0.667, 0.333, 0.749)
La (0.752, 0.752, 0.000)
La (0.753, 0.000, 0.500)
Bi (0.000, 0.386, 0.500)
Bi (0.386, 0.000, 0.500)
Bi (0.614, 0.614, 0.500)
Pb (0.000, 0.613, 0.000)
Pb (0.387, 0.387, 0.000)
Pb (0.613, 0.000, 0.000)

**Total moment**: 1.85 μB/cell
**Calculated formation energy**: -0.6971 eV/atom

[4]
This record from Alexandria describes an optimized crystal structure of LaBi5Pb2. The functional is PBE.

Cell lengths 6.969, 6.969, 6.969 Å; angles 105.26, 105.26, 118.28 degrees
Sites, in units of the cell vectors:
La (0.000, 0.000, 0.000)
Bi (0.000, 0.000, 0.500)
Bi (0.000, 0.500, 0.000)
Bi (0.500, 0.000, 0.000)
Bi (0.500, 0.500, 0.000)
Bi (0.500, 0.500, 0.500)
Pb (0.000, 0.500, 0.500)
Pb (0.500, 0.000, 0.500)

**Total moment**: 0.00 μB/cell
**Calculated formation energy**: -0.2335 eV/atom

[5]
This record from Alexandria describes an optimized crystal structure of La2BiPb. The functional is PBE.

Cell lengths 6.637, 6.637, 14.859 Å; angles 90.00, 116.50, 90.00 degrees
Sites, in units of the cell vectors:
La (0.122, 0.249, 0.122)
La (0.122, 0.751, 0.622)
La (0.372, 0.251, 0.872)
La (0.372, 0.749, 0.372)
La (0.628, 0.251, 0.628)
La (0.628, 0.749, 0.128)
La (0.878, 0.249, 0.378)
La (0.878, 0.751, 0.878)
Bi (0.125, 0.251, 0.625)
Bi (0.125, 0.749, 0.125)
Bi (0.875, 0.251, 0.875)
Bi (0.875, 0.749, 0.375)
Pb (0.375, 0.249, 0.375)
Pb (0.375, 0.751, 0.875)
Pb (0.625, 0.249, 0.125)
Pb (0.625, 0.751, 0.625)

**Distance to the lowest polymorph of the same formula**: 0.079 eV per atom
**Total moment**: 0.00 μB/cell
**Calculated formation energy**: -0.7476 eV/atom

[6]
This record from Alexandria describes an optimized crystal structure of La8BiPb5. The functional is PBE.

Cell lengths 8.580, 8.580, 8.580 Å; angles 109.42, 109.42, 109.57 degrees
Sites, in units of the cell vectors:
La (0.014, 0.624, 0.751)
La (0.233, 0.483, 0.107)
La (0.376, 0.126, 0.390)
La (0.376, 0.126, 0.893)
La (0.517, 0.624, 0.750)
La (0.737, 0.986, 0.610)
La (0.874, 0.263, 0.249)
La (0.874, 0.767, 0.250)
Bi (0.250, 0.750, 0.500)
Pb (0.000, 0.000, 0.000)
Pb (0.126, 0.250, 0.625)
Pb (0.499, 0.874, 0.124)
Pb (0.625, 0.501, 0.375)
Pb (0.750, 0.375, 0.876)

**Total moment**: 0.00 μB/cell
**Calculated formation energy**: -0.6825 eV/atom

[7]
This record from Alexandria describes an optimized crystal structure of La5Bi4Pb. The functional is PBE.

Cell lengths 8.142, 8.142, 8.142 Å; angles 99.58, 99.58, 131.85 degrees
Sites, in units of the cell vectors:
La (0.000, 0.000, 0.000)
La (0.199, 0.399, 0.598)
La (0.399, 0.801, 0.200)
La (0.601, 0.199, 0.800)
La (0.801, 0.601, 0.402)
Bi (0.099, 0.700, 0.799)
Bi (0.300, 0.099, 0.400)
Bi (0.700, 0.901, 0.600)
Bi (0.901, 0.300, 0.201)
Pb (0.500, 0.500, 0.000)

**Total moment**: 0.00 μB/cell
**Calculated formation energy**: -0.9284 eV/atom

[8]
This record from Alexandria describes an optimized crystal structure of La4BiPb. The functional is PBE.

Cell lengths 8.785, 8.785, 6.549 Å; angles 102.58, 102.58, 116.48 degrees
Sites, in units of the cell vectors:
La (0.086, 0.704, 0.929)
La (0.234, 0.401, 0.680)
La (0.296, 0.914, 0.571)
La (0.401, 0.234, 0.180)
La (0.599, 0.766, 0.820)
La (0.704, 0.086, 0.429)
La (0.766, 0.599, 0.320)
La (0.914, 0.296, 0.071)
Bi (0.380, 0.620, 0.250)
Bi (0.620, 0.380, 0.750)
Pb (0.002, 0.998, 0.250)
Pb (0.998, 0.002, 0.750)

**Total moment**: 0.00 μB/cell
**Calculated formation energy**: -0.5254 eV/atom

[9]
This record from Alexandria describes an optimized crystal structure of La2BiPb. The functional is PBE.

Cell lengths 3.782, 3.782, 9.009 Å; angles 90.00, 90.00, 90.00 degrees
Sites, in units of the cell vectors:
La (0.000, 0.000, 0.247)
La (0.000, 0.000, 0.753)
Bi (0.500, 0.500, 0.000)
Pb (0.500, 0.500, 0.500)

**Distance to the lowest polymorph of the same formula**: 0.143 eV per atom
**Total moment**: 0.00 μB/cell
**Calculated formation energy**: -0.6836 eV/atom

[10]
This record from Alexandria describes an optimized crystal structure of La2BiPb. The functional is PBE.

Cell lengths 7.201, 7.201, 7.201 Å; angles 104.81, 104.81, 119.25 degrees
Sites, in units of the cell vectors:
La (0.125, 0.625, 0.000)
La (0.375, 0.375, 0.500)
La (0.625, 0.125, 0.000)
La (0.875, 0.875, 0.500)
Bi (0.000, 0.000, 0.000)
Bi (0.750, 0.250, 0.500)
Pb (0.250, 0.750, 0.500)
Pb (0.500, 0.500, 0.000)

**Distance to the lowest polymorph of the same formula**: 0.233 eV per atom
**Total moment**: 0.66 μB/cell
**Calculated formation energy**: -0.5930 eV/atom

[11]
This record from Alexandria describes an optimized crystal structure of LaPmBiPb. The functional is PBE.

Cell lengths 5.652, 5.652, 5.652 Å; angles 60.00, 60.00, 60.00 degrees
Sites, in units of the cell vectors:
La (0.000, 0.000, 0.000)
Pm (0.500, 0.500, 0.500)
Bi (0.750, 0.750, 0.750)
Pb (0.250, 0.250, 0.250)

**Total moment**: 0.00 μB/cell
**Calculated formation energy**: -0.5786 eV/atom

[12]
This record from Alexandria describes an optimized crystal structure of LaPuBiPb. The functional is PBE.

Cell lengths 5.601, 5.601, 5.601 Å; angles 60.00, 60.00, 60.00 degrees
Sites, in units of the cell vectors:
La (0.000, 0.000, 0.000)
Pu (0.500, 0.500, 0.500)
Bi (0.750, 0.750, 0.750)
Pb (0.250, 0.250, 0.250)

**Total moment**: 6.17 μB/cell
**Calculated formation energy**: -0.3811 eV/atom

[13]
This record from Alexandria describes an optimized crystal structure of LaBiRhPb2. The functional is PBE.

Cell lengths 5.325, 5.325, 5.355 Å; angles 90.00, 90.00, 90.00 degrees
Sites, in units of the cell vectors:
La (0.000, 0.000, 0.000)
Bi (0.500, 0.500, 0.000)
Rh (0.000, 0.000, 0.500)
Pb (0.000, 0.500, 0.500)
Pb (0.500, 0.000, 0.500)

**Total moment**: 0.00 μB/cell
**Calculated formation energy**: -0.4084 eV/atom

[14]
This record from Alexandria describes an optimized crystal structure of La2BiRuPb. The functional is PBE.

Cell lengths 5.476, 5.476, 5.231 Å; angles 90.00, 90.00, 90.00 degrees
Sites, in units of the cell vectors:
La (0.000, 0.500, 0.000)
La (0.500, 0.000, 0.000)
Bi (0.000, 0.000, 0.500)
Ru (0.500, 0.500, 0.000)
Pb (0.500, 0.500, 0.500)

**Total moment**: 0.00 μB/cell
**Calculated formation energy**: -0.5228 eV/atom

[15]
This record from Alexandria describes an optimized crystal structure of La6BiSb3Pb2. The functional is PBE.

Cell lengths 10.500, 10.500, 9.485 Å; angles 105.13, 105.13, 25.17 degrees
Sites, in units of the cell vectors:
La (0.001, 0.001, 0.247)
La (0.332, 0.332, 0.419)
La (0.337, 0.337, 0.906)
La (0.663, 0.663, 0.094)
La (0.668, 0.668, 0.581)
La (0.999, 0.999, 0.753)
Bi (0.500, 0.500, 0.500)
Sb (0.166, 0.166, 0.337)
Sb (0.500, 0.500, 0.000)
Sb (0.834, 0.834, 0.663)
Pb (0.169, 0.169, 0.841)
Pb (0.831, 0.831, 0.159)

**Formation energy (no corrections)**: -92 kJ/mol of atoms
**Total moment**: 0.00 μB/cell

[16]
This record from Alexandria describes an optimized crystal structure of La6Bi2Sb3Pb. The functional is PBE.

Cell lengths 10.423, 10.423, 9.377 Å; angles 103.07, 103.07, 25.70 degrees
Sites, in units of the cell vectors:
La (0.001, 0.001, 0.245)
La (0.332, 0.332, 0.419)
La (0.334, 0.334, 0.914)
La (0.666, 0.666, 0.086)
La (0.668, 0.668, 0.581)
La (0.999, 0.999, 0.755)
Bi (0.166, 0.166, 0.833)
Bi (0.834, 0.834, 0.167)
Sb (0.167, 0.167, 0.333)
Sb (0.500, 0.500, 0.000)
Sb (0.833, 0.833, 0.667)
Pb (0.500, 0.500, 0.500)

**Formation energy (no corrections)**: -102 kJ/mol of atoms
**Total moment**: 0.00 μB/cell

[17]
This record from Alexandria describes an optimized crystal structure of La4BiPbSe2. The functional is PBE.

Cell lengths 7.759, 4.538, 7.866 Å; angles 90.00, 109.70, 90.00 degrees
Sites, in units of the cell vectors:
La (0.237, 0.000, 0.243)
La (0.238, 0.500, 0.748)
La (0.762, 0.500, 0.252)
La (0.763, 0.000, 0.757)
Bi (0.500, 0.500, 0.500)
Pb (0.500, 0.000, 0.000)
Se (0.000, 0.000, 0.500)
Se (0.000, 0.500, 0.000)

**Formation energy (no corrections)**: -135 kJ/mol of atoms
**Total moment**: 0.00 μB/cell

[18]
This record from Alexandria describes an optimized crystal structure of LaSnBiPb. The functional is PBE.

Cell lengths 4.831, 4.909, 5.071 Å; angles 90.00, 90.00, 90.00 degrees
Sites, in units of the cell vectors:
La (0.000, 0.000, 0.000)
Sn (0.500, 0.000, 0.500)
Bi (0.500, 0.500, 0.000)
Pb (0.000, 0.500, 0.500)

**Total moment**: 0.00 μB/cell
**Calculated formation energy**: -0.5182 eV/atom

[19]
This record from Alexandria describes an optimized crystal structure of SrLaBi2Pb. The functional is PBE.

Cell lengths 6.126, 6.126, 6.061 Å; angles 90.00, 90.00, 90.00 degrees
Sites, in units of the cell vectors:
Sr (0.000, 0.000, 0.000)
La (0.000, 0.000, 0.500)
Bi (0.000, 0.500, 0.000)
Bi (0.500, 0.000, 0.000)
Pb (0.500, 0.500, 0.500)

**Total moment**: 0.63 μB/cell
**Calculated formation energy**: 0.5710 eV/atom

[20]
This record from Alexandria describes an optimized crystal structure of La6Bi2Te3Pb. The functional is PBE.

Cell lengths 10.382, 10.382, 9.269 Å; angles 102.49, 102.49, 25.97 degrees
Sites, in units of the cell vectors:
La (0.000, 0.000, 0.245)
La (0.000, 0.000, 0.755)
La (0.333, 0.333, 0.417)
La (0.336, 0.336, 0.917)
La (0.664, 0.664, 0.083)
La (0.667, 0.667, 0.583)
Bi (0.167, 0.167, 0.334)
Bi (0.833, 0.833, 0.666)
Te (0.168, 0.168, 0.833)
Te (0.500, 0.500, 0.500)
Te (0.832, 0.832, 0.167)
Pb (0.500, 0.500, 0.000)

**Formation energy (no corrections)**: -123 kJ/mol of atoms
**Total moment**: 0.00 μB/cell

[21]
This record from Alexandria describes an optimized crystal structure of La6BiTe3Pb2. The functional is PBE.

Cell lengths 10.374, 10.374, 9.273 Å; angles 102.31, 102.31, 26.01 degrees
Sites, in units of the cell vectors:
La (0.002, 0.002, 0.250)
La (0.332, 0.332, 0.421)
La (0.333, 0.333, 0.912)
La (0.667, 0.667, 0.088)
La (0.668, 0.668, 0.579)
La (0.998, 0.998, 0.750)
Bi (0.500, 0.500, 0.000)
Te (0.166, 0.166, 0.833)
Te (0.500, 0.500, 0.500)
Te (0.834, 0.834, 0.167)
Pb (0.166, 0.166, 0.332)
Pb (0.834, 0.834, 0.668)

**Formation energy (no corrections)**: -116 kJ/mol of atoms
**Total moment**: 0.00 μB/cell

[22]
This record from Alexandria describes an optimized crystal structure of La8Bi3Te4Pb. The functional is PBE.

Cell lengths 9.275, 9.275, 9.275 Å; angles 60.34, 60.34, 60.34 degrees
Sites, in units of the cell vectors:
La (0.250, 0.250, 0.250)
La (0.252, 0.747, 0.747)
La (0.253, 0.253, 0.748)
La (0.253, 0.748, 0.253)
La (0.747, 0.252, 0.747)
La (0.747, 0.747, 0.252)
La (0.748, 0.253, 0.253)
La (0.750, 0.750, 0.750)
Bi (0.000, 0.000, 0.500)
Bi (0.000, 0.500, 0.000)
Bi (0.500, 0.000, 0.000)
Te (0.000, 0.000, 0.000)
Te (0.000, 0.500, 0.500)
Te (0.500, 0.000, 0.500)
Te (0.500, 0.500, 0.000)
Pb (0.500, 0.500, 0.500)

**Formation energy (no corrections)**: -125 kJ/mol of atoms
**Total moment**: 0.00 μB/cell

[23]
This record from Alexandria describes an optimized crystal structure of La6Bi3TePb2. The functional is PBE.

Cell lengths 10.471, 10.471, 9.432 Å; angles 102.92, 102.92, 25.62 degrees
Sites, in units of the cell vectors:
La (0.001, 0.001, 0.252)
La (0.333, 0.333, 0.416)
La (0.333, 0.333, 0.917)
La (0.667, 0.667, 0.083)
La (0.667, 0.667, 0.584)
La (0.999, 0.999, 0.748)
Bi (0.165, 0.165, 0.834)
Bi (0.500, 0.500, 0.500)
Bi (0.835, 0.835, 0.166)
Te (0.500, 0.500, 0.000)
Pb (0.166, 0.166, 0.331)
Pb (0.834, 0.834, 0.669)

**Formation energy (no corrections)**: -94 kJ/mol of atoms
**Total moment**: 0.00 μB/cell